## P
Compound: Ta4C
Source: the Alexandria database
Functional: GGA-PBE
Structure: relaxed

Values from the calculation:
- theoretical density (Mg/m³) = 15.03

Unit cell a=4.3319 b=4.3319 c=4.3319 alpha=90.00 beta=90.00 gamma=90.00
Last column: nearest neighbours and their distance in Å.
Space group Pm-3m (No. 221)
Asymmetric unit:
Ta 0.0000 0.0000 0.0000 [1 per cell]  12 Ta 3.06
Ta 0.0000 0.5000 0.5000 [3 per cell]  2 C 2.17
C 0.5000 0.5000 0.5000 [1 per cell]  6 Ta 2.17

## Q
Compound: Ta4C
Source: the Alexandria database
Functional: GGA-PBE
Structure: relaxed

Values from the calculation:
- theoretical density (Mg/m³) = 14.52

Unit cell a=5.5214 b=5.5214 c=5.5214 alpha=90.00 beta=90.00 gamma=90.00
Last column: nearest neighbours and their distance in Å.
Space group Im-3m (No. 229)
Asymmetric unit:
Ta 0.2500 0.2500 0.2500 [8 per cell]  2 C 2.39
C 0.0000 0.0000 0.0000 [2 per cell]  8 Ta 2.39

Question: of the structures shown, which is the most stable? Reply: P.